AlFe2Sn (GGA-PBE, optimized geometry); calculated volume = 135.7 Å³ per cell; energy of formation = 414.7 meV per atom; SG = I-42d (122); crystal system = tetragonal
1.0
-2.056 -0.914 -3.212
3.264 0.250 -2.160
2.195 -8.889 -1.271
Fe Al Sn
4 2 2
Direct
0.186 0.625 0.250 Fe
0.375 0.436 0.750 Fe
0.564 0.125 0.250 Fe
0.875 0.814 0.750 Fe
0.500 0.500 0.000 Al
0.250 0.750 0.500 Al
0.000 0.000 0.000 Sn
0.750 0.250 0.500 Sn